No. 1
# Er6Te3C2Se PBE optimized geometry
# calculated total energy	-72.2	eV/cell
# spin magnetization	0.000	μB per atom
# raw formation energy	-1.125	eV/atom
data_Er6Te3C2Se
_symmetry_space_group_name_H-M 'P 1'
_symmetry_Int_Tables_number 1
_cell_length_a 9.1600
_cell_length_b 9.1600
_cell_length_c 8.3063
_cell_angle_alpha 105.64
_cell_angle_beta 105.64
_cell_angle_gamma 24.54
loop_
_symmetry_equiv_pos_as_xyz
'x,y,z'
loop_
_atom_site_label
_atom_site_fract_x
_atom_site_fract_y
_atom_site_fract_z
_atom_site_occupancy
Er1 0.0314 0.0314 0.2571 1
Er2 0.3178 0.3178 0.4487 1
Er3 0.3268 0.3268 0.8585 1
Er4 0.6732 0.6732 0.1415 1
Er5 0.6822 0.6822 0.5513 1
Er6 0.9686 0.9686 0.7429 1
Te1 0.1571 0.1571 0.8338 1
Te2 0.5000 0.5000 0.5000 1
Te3 0.8429 0.8429 0.1662 1
C1 0.1711 0.1711 0.3369 1
C2 0.8289 0.8289 0.6631 1
Se1 0.5000 0.5000 0.0000 1

***

No. 2
# Er8Te3CSe3 PBE optimized geometry
# calculated total energy	-84.1	eV/cell
# spin magnetization	0.000	μB per atom
# raw formation energy	-1.230	eV/atom
data_Er8Te3CSe3
_symmetry_space_group_name_H-M 'P 1'
_symmetry_Int_Tables_number 1
_cell_length_a 8.3994
_cell_length_b 8.3994
_cell_length_c 8.3994
_cell_angle_alpha 57.87
_cell_angle_beta 57.87
_cell_angle_gamma 57.87
loop_
_symmetry_equiv_pos_as_xyz
'x,y,z'
loop_
_atom_site_label
_atom_site_fract_x
_atom_site_fract_y
_atom_site_fract_z
_atom_site_occupancy
Er1 0.2379 0.2379 0.2379 1
Er2 0.2756 0.7103 0.7103 1
Er3 0.2897 0.2897 0.7244 1
Er4 0.2897 0.7244 0.2897 1
Er5 0.7103 0.2756 0.7103 1
Er6 0.7103 0.7103 0.2756 1
Er7 0.7244 0.2897 0.2897 1
Er8 0.7621 0.7621 0.7621 1
Te1 0.0000 0.5000 0.5000 1
Te2 0.5000 0.0000 0.5000 1
Te3 0.5000 0.5000 0.0000 1
C1 0.5000 0.5000 0.5000 1
Se1 0.0000 0.0000 0.5000 1
Se2 0.0000 0.5000 0.0000 1
Se3 0.5000 0.0000 0.0000 1

***

No. 3
# Er8Te4CSe3 PBE optimized geometry
# calculated total energy	-90.5	eV/cell
# spin magnetization	0.000	μB per atom
# raw formation energy	-1.362	eV/atom
data_Er8Te4CSe3
_symmetry_space_group_name_H-M 'P 1'
_symmetry_Int_Tables_number 1
_cell_length_a 8.3812
_cell_length_b 8.3812
_cell_length_c 8.3812
_cell_angle_alpha 58.31
_cell_angle_beta 58.31
_cell_angle_gamma 58.31
loop_
_symmetry_equiv_pos_as_xyz
'x,y,z'
loop_
_atom_site_label
_atom_site_fract_x
_atom_site_fract_y
_atom_site_fract_z
_atom_site_occupancy
Er1 0.2395 0.2395 0.2395 1
Er2 0.2704 0.7148 0.7148 1
Er3 0.2852 0.2852 0.7296 1
Er4 0.2852 0.7296 0.2852 1
Er5 0.7148 0.2704 0.7148 1
Er6 0.7148 0.7148 0.2704 1
Er7 0.7296 0.2852 0.2852 1
Er8 0.7605 0.7605 0.7605 1
Te1 0.0000 0.0000 0.0000 1
Te2 0.0000 0.5000 0.5000 1
Te3 0.5000 0.0000 0.5000 1
Te4 0.5000 0.5000 0.0000 1
C1 0.5000 0.5000 0.5000 1
Se1 0.0000 0.0000 0.5000 1
Se2 0.0000 0.5000 0.0000 1
Se3 0.5000 0.0000 0.0000 1

***

No. 4
# Er8Tl4CSe3 PBE optimized geometry
# calculated total energy	-79.6	eV/cell
# spin magnetization	0.000	μB per atom
# raw formation energy	-0.874	eV/atom
data_Er8Tl4CSe3
_symmetry_space_group_name_H-M 'P 1'
_symmetry_Int_Tables_number 1
_cell_length_a 8.9932
_cell_length_b 8.9932
_cell_length_c 8.9932
_cell_angle_alpha 51.05
_cell_angle_beta 51.05
_cell_angle_gamma 51.05
loop_
_symmetry_equiv_pos_as_xyz
'x,y,z'
loop_
_atom_site_label
_atom_site_fract_x
_atom_site_fract_y
_atom_site_fract_z
_atom_site_occupancy
Er1 0.2396 0.2396 0.2396 1
Er2 0.2685 0.7128 0.7128 1
Er3 0.2872 0.2872 0.7315 1
Er4 0.2872 0.7315 0.2872 1
Er5 0.7128 0.2685 0.7128 1
Er6 0.7128 0.7128 0.2685 1
Er7 0.7315 0.2872 0.2872 1
Er8 0.7604 0.7604 0.7604 1
Tl1 0.0000 0.0000 0.0000 1
Tl2 0.0000 0.5000 0.5000 1
Tl3 0.5000 0.0000 0.5000 1
Tl4 0.5000 0.5000 0.0000 1
C1 0.5000 0.5000 0.5000 1
Se1 0.0000 0.0000 0.5000 1
Se2 0.0000 0.5000 0.0000 1
Se3 0.5000 0.0000 0.0000 1

***

No. 5
# ErTmCSe PBE optimized geometry
# calculated total energy	-26.3	eV/cell
# spin magnetization	0.000	μB per atom
# raw formation energy	-1.131	eV/atom
data_ErTmCSe
_symmetry_space_group_name_H-M 'P 1'
_symmetry_Int_Tables_number 1
_cell_length_a 6.9737
_cell_length_b 6.9737
_cell_length_c 6.9737
_cell_angle_alpha 30.64
_cell_angle_beta 30.64
_cell_angle_gamma 30.64
loop_
_symmetry_equiv_pos_as_xyz
'x,y,z'
loop_
_atom_site_label
_atom_site_fract_x
_atom_site_fract_y
_atom_site_fract_z
_atom_site_occupancy
Er1 0.0000 0.0000 0.0000 1
Tm1 0.2012 0.2012 0.2012 1
C1 0.5993 0.5993 0.5993 1
Se1 0.7687 0.7687 0.7687 1

***

No. 6
# ErUCSe2 PBE optimized geometry
# calculated total energy	-75.1	eV/cell
# spin magnetization	0.147	μB per atom
# raw formation energy	-1.100	eV/atom
data_ErUCSe2
_symmetry_space_group_name_H-M 'P 1'
_symmetry_Int_Tables_number 1
_cell_length_a 3.9021
_cell_length_b 3.9021
_cell_length_c 14.3290
_cell_angle_alpha 90.00
_cell_angle_beta 90.00
_cell_angle_gamma 90.00
loop_
_symmetry_equiv_pos_as_xyz
'x,y,z'
loop_
_atom_site_label
_atom_site_fract_x
_atom_site_fract_y
_atom_site_fract_z
_atom_site_occupancy
Er1 0.2500 0.2500 0.1212 1
Er2 0.7500 0.7500 0.8788 1
U1 0.2500 0.2500 0.5821 1
U2 0.7500 0.7500 0.4179 1
C1 0.2500 0.7500 0.5000 1
C2 0.7500 0.2500 0.5000 1
Se1 0.2500 0.2500 0.3115 1
Se2 0.2500 0.2500 0.9091 1
Se3 0.7500 0.7500 0.0909 1
Se4 0.7500 0.7500 0.6885 1

***

No. 7
# ErZrCSe PBE optimized geometry
# calculated total energy	-30.4	eV/cell
# spin magnetization	0.000	μB per atom
# raw formation energy	-1.134	eV/atom
data_ErZrCSe
_symmetry_space_group_name_H-M 'P 1'
_symmetry_Int_Tables_number 1
_cell_length_a 6.8583
_cell_length_b 6.8583
_cell_length_c 6.8583
_cell_angle_alpha 30.11
_cell_angle_beta 30.11
_cell_angle_gamma 30.11
loop_
_symmetry_equiv_pos_as_xyz
'x,y,z'
loop_
_atom_site_label
_atom_site_fract_x
_atom_site_fract_y
_atom_site_fract_z
_atom_site_occupancy
Er1 0.0000 0.0000 0.0000 1
Zr1 0.2027 0.2027 0.2027 1
C1 0.5934 0.5934 0.5934 1
Se1 0.7716 0.7716 0.7716 1

***

No. 8
# Er12Si6C PBE optimized geometry
# calculated total energy	-105.0	eV/cell
# spin magnetization	0.000	μB per atom
# raw formation energy	-0.446	eV/atom
data_Er12Si6C
_symmetry_space_group_name_H-M 'P 1'
_symmetry_Int_Tables_number 1
_cell_length_a 8.0093
_cell_length_b 8.0093
_cell_length_c 8.0093
_cell_angle_alpha 98.73
_cell_angle_beta 98.73
_cell_angle_gamma 98.73
loop_
_symmetry_equiv_pos_as_xyz
'x,y,z'
loop_
_atom_site_label
_atom_site_fract_x
_atom_site_fract_y
_atom_site_fract_z
_atom_site_occupancy
Er1 0.0349 0.9328 0.6937 1
Er2 0.0672 0.3063 0.9651 1
Er3 0.1856 0.5670 0.4297 1
Er4 0.3063 0.9651 0.0672 1
Er5 0.4297 0.1856 0.5670 1
Er6 0.4330 0.5703 0.8144 1
Er7 0.5670 0.4297 0.1856 1
Er8 0.5703 0.8144 0.4330 1
Er9 0.6937 0.0349 0.9328 1
Er10 0.8144 0.4330 0.5703 1
Er11 0.9328 0.6937 0.0349 1
Er12 0.9651 0.0672 0.3063 1
Si1 0.1262 0.2935 0.6176 1
Si2 0.2935 0.6176 0.1262 1
Si3 0.3824 0.8738 0.7065 1
Si4 0.6176 0.1262 0.2935 1
Si5 0.7065 0.3824 0.8738 1
Si6 0.8738 0.7065 0.3824 1
C1 0.0000 0.0000 0.0000 1

***

No. 9
# ErSiC2 PBE optimized geometry
# calculated total energy	-25.9	eV/cell
# spin magnetization	0.000	μB per atom
# raw formation energy	0.623	eV/atom
data_ErSiC2
_symmetry_space_group_name_H-M 'P 1'
_symmetry_Int_Tables_number 1
_cell_length_a 6.2620
_cell_length_b 6.2620
_cell_length_c 6.2620
_cell_angle_alpha 34.32
_cell_angle_beta 34.32
_cell_angle_gamma 34.32
loop_
_symmetry_equiv_pos_as_xyz
'x,y,z'
loop_
_atom_site_label
_atom_site_fract_x
_atom_site_fract_y
_atom_site_fract_z
_atom_site_occupancy
Er1 0.0000 0.0000 0.0000 1
Si1 0.5000 0.5000 0.5000 1
C1 0.4025 0.4025 0.4025 1
C2 0.5975 0.5975 0.5975 1

***

No. 10
# Er8Si2C3 PBE optimized geometry
# calculated total energy	-79.7	eV/cell
# spin magnetization	0.000	μB per atom
# raw formation energy	-0.359	eV/atom
data_Er8Si2C3
_symmetry_space_group_name_H-M 'P 1'
_symmetry_Int_Tables_number 1
_cell_length_a 7.8772
_cell_length_b 7.8772
_cell_length_c 6.3010
_cell_angle_alpha 106.16
_cell_angle_beta 106.16
_cell_angle_gamma 54.29
loop_
_symmetry_equiv_pos_as_xyz
'x,y,z'
loop_
_atom_site_label
_atom_site_fract_x
_atom_site_fract_y
_atom_site_fract_z
_atom_site_occupancy
Er1 0.0984 0.0984 0.4056 1
Er2 0.1367 0.6604 0.1031 1
Er3 0.3396 0.8633 0.8969 1
Er4 0.3944 0.3944 0.5701 1
Er5 0.6056 0.6056 0.4299 1
Er6 0.6604 0.1367 0.1031 1
Er7 0.8633 0.3396 0.8969 1
Er8 0.9016 0.9016 0.5944 1
Si1 0.2552 0.2552 0.8252 1
Si2 0.7448 0.7448 0.1748 1
C1 0.0000 0.0000 0.0000 1
C2 0.2582 0.7418 0.5000 1
C3 0.7418 0.2582 0.5000 1